A relaxed structure of Tb7YEr4. Source: the Alexandria database, functional PBE.

Output
The formation energy comes out at 0.087 eV per atom. As for the offset from the most stable computed form: 0 kJ/mol of formula units. The value obtained for the total magnetic moment is 0.0 μB/f.u. The calculation puts the theoretical density at 8.13 g cm⁻³. Its space group is No. 2.

```
Tb7YEr4
1.0
6.463 0.000 0.000
0.901 6.755 0.000
2.101 0.246 8.750
Tb Y Er
7 1 4
direct
0.000 0.000 0.000
0.195 0.598 0.385
0.312 0.206 0.643
0.486 0.751 0.050
0.514 0.249 0.950
0.688 0.794 0.357
0.805 0.402 0.615
0.000 0.500 0.000
0.162 0.106 0.317
0.355 0.701 0.713
0.645 0.299 0.287
0.838 0.894 0.683
```